# 1
DFT (PBE) results for crystalline Sc2VSb at its relaxed geometry.

Properties
Space group: R-3m (166)
Volume (Å³ per atom): 23.5
Calculated total energy (eV/f.u.): -24.87
Energy relative to the elements, uncorrected (eV per atom): 0.260

Lattice parameters (Å, degrees): 10.238 10.238 10.238 18.47 18.47 18.47
Last column: magnetic moment on the atom in μB.
Sites, in units of the cell vectors:
Sc1 0.903 0.903 0.903  0.13
Sc2 0.097 0.097 0.097  0.13
Sb1 0.000 0.000 0.000  0.02
V1 0.500 0.500 0.500  1.69

---

# 2
DFT (PBE) results for crystalline Sm2Tm3Th at its relaxed geometry.

Properties
Space group: Cmc2_1 (36)
Volume (Å³ per atom): 32.8
Calculated total energy (eV/f.u.): -28.85
ΔH_f (0 K) (meV per atom): 237

Lattice parameters (Å, degrees): 6.811 7.735 7.735 74.68 90.00 90.00
Sites, in units of the cell vectors:
Sm1 0.576 0.822 0.475
Sm2 0.076 0.525 0.178
Sm3 0.576 0.475 0.822
Sm4 0.076 0.178 0.525
Tm1 0.077 0.790 0.446
Tm2 0.577 0.554 0.210
Tm3 0.077 0.446 0.790
Tm4 0.577 0.210 0.554
Tm5 0.326 0.852 0.852
Tm6 0.826 0.148 0.148
Th1 0.827 0.855 0.855
Th2 0.327 0.145 0.145